1.
An optimized crystal structure of BaMg2Mn, computed with GGA-PBE.

The structure belongs to space group Cm (No. 8); the cell edges are 9.903, 3.597 and 6.837 Å and the angles 90.00°, 100.49° and 90.00°. The asymmetric unit holds Ba at (0.000, 0.000, 0.000), Mg at (0.231, 0.000, 0.647), Mg at (0.488, 0.000, 0.468) and Mn at (0.257, 0.500, 0.328).

The value obtained for the final energy is -3.211 eV per atom. As for the calculated formation energy: 359 meV per atom. As for the spin magnetization: 3.9 μB/f.u.

---

2.
An optimized crystal structure of BaMgMn2, computed with GGA-PBE.

The structure belongs to space group C2/m (No. 12); the cell edges are 9.411, 3.297 and 6.846 Å and the angles 90.00°, 98.56° and 90.00°. The asymmetric unit holds Ba at (0.000, 0.000, 0.000), Mg at (0.000, 0.500, 0.500) and Mn at (0.238, 0.000, 0.650).

The value obtained for the final energy is -4.875 eV per atom. As for the calculated formation energy: 589 meV per atom. As for the spin magnetization: 7.5 μB/f.u. For the energy above the most stable polymorph in this dataset, the calculation gives 0.90 eV per formula unit.

---

3.
An optimized crystal structure of BaMgMn, computed with GGA-PBE.

The structure belongs to space group Imm2 (No. 44); the cell edges are 3.783, 3.793 and 12.506 Å and the angles 90.00°, 90.00° and 90.00°. The asymmetric unit holds Ba at (0.000, 0.000, 0.000), Mg at (0.000, 0.000, 0.285) and Mn at (0.000, 0.000, 0.694).

The value obtained for the final energy is -3.836 eV per atom. As for the calculated formation energy: 393 meV per atom. As for the spin magnetization: 3.8 μB/f.u.

---

4.
An optimized crystal structure of BaMgMn2, computed with GGA-PBE.

The structure belongs to space group P4/mmm (No. 123); the cell edges are 3.653, 3.653 and 7.524 Å and the angles 90.00°, 90.00° and 90.00°. The asymmetric unit holds Ba at (0.000, 0.000, 0.000), Mg at (0.000, 0.000, 0.500) and Mn at (0.500, 0.500, 0.324).

The value obtained for the final energy is -4.903 eV per atom. As for the calculated formation energy: 561 meV per atom. As for the spin magnetization: 7.5 μB/f.u. For the energy above the most stable polymorph in this dataset, the calculation gives 0.79 eV per formula unit.

---

5.
An optimized crystal structure of BaMg3Mn, computed with GGA-PBE.

The structure belongs to space group Pm-3m (No. 221); the cell edges are 5.291, 5.291 and 5.291 Å and the angles 90.00°, 90.00° and 90.00°. The asymmetric unit holds Ba at (0.000, 0.000, 0.000), Mg at (0.000, 0.500, 0.500) and Mn at (0.500, 0.500, 0.500).

The value obtained for the final energy is -2.919 eV per atom. As for the calculated formation energy: 257 meV per atom. As for the spin magnetization: 2.9 μB/f.u. For the energy above the most stable polymorph in this dataset, the calculation gives 0.00 eV per formula unit.

---

6.
An optimized crystal structure of BaMgMn2, computed with GGA-PBE.

The structure belongs to space group Immm (No. 71); the cell edges are 5.104, 5.777 and 7.433 Å and the angles 90.00°, 90.00° and 90.00°. The asymmetric unit holds Ba at (0.000, 0.000, 0.000), Mg at (0.000, 0.000, 0.500) and Mn at (0.000, 0.500, 0.191).

The value obtained for the final energy is -4.793 eV per atom. As for the calculated formation energy: 671 meV per atom. As for the spin magnetization: 8.0 μB/f.u. For the energy above the most stable polymorph in this dataset, the calculation gives 1.23 eV per formula unit.

---

7.
An optimized crystal structure of BaMg2Mn, computed with GGA-PBE.

The structure belongs to space group C2/m (No. 12); the cell edges are 12.675, 3.509 and 5.596 Å and the angles 90.00°, 115.39° and 90.00°. The asymmetric unit holds Ba at (0.000, 0.000, 0.000), Mg at (0.207, 0.000, 0.705) and Mn at (0.000, 0.500, 0.500).

The value obtained for the final energy is -3.217 eV per atom. As for the calculated formation energy: 353 meV per atom. As for the spin magnetization: 3.4 μB/f.u.

---

8.
An optimized crystal structure of BaMg2Mn, computed with GGA-PBE.

The structure belongs to space group C2/m (No. 12); the cell edges are 6.545, 11.077 and 3.317 Å and the angles 90.00°, 106.80° and 90.00°. The asymmetric unit holds Ba at (0.000, 0.000, 0.000), Mg at (0.250, 0.250, 0.500) and Mn at (0.000, 0.500, 0.000).

The value obtained for the final energy is -3.053 eV per atom. As for the calculated formation energy: 518 meV per atom. As for the spin magnetization: 3.9 μB/f.u.

---

9.
An optimized crystal structure of BaMgMn, computed with GGA-PBE.

The structure belongs to space group P-6m2 (No. 187); the cell edges are 5.1776, 5.1776 and 4.2584 Å and the angles 90.00°, 90.00° and 120.00°. The asymmetric unit holds Ba at (0.0000, 0.0000, 0.0000), Mg at (0.6667, 0.3333, 0.5000) and Mn at (0.3333, 0.6667, 0.5000).

The value obtained for the final energy is -3.790 eV per atom. As for the calculated formation energy: 439 meV per atom. As for the spin magnetization: 4.1 μB/f.u.

---

10.
An optimized crystal structure of BaMgMn2, computed with GGA-PBE.

The structure belongs to space group F-43m (No. 216); the cell edges are 7.474, 7.474 and 7.474 Å and the angles 90.00°, 90.00° and 90.00°. The asymmetric unit holds Ba at (0.000, 0.000, 0.000), Mg at (0.250, 0.250, 0.750), Mn at (0.000, 0.000, 0.500) and Mn at (0.250, 0.250, 0.250).

The value obtained for the final energy is -4.771 eV per atom. As for the calculated formation energy: 693 meV per atom. As for the spin magnetization: 8.0 μB/f.u. For the energy above the most stable polymorph in this dataset, the calculation gives 1.32 eV per formula unit.

---

11.
An optimized crystal structure of BaMgMn2, computed with GGA-PBE.

The structure belongs to space group Cm (No. 8); the cell edges are 9.382, 3.297 and 6.833 Å and the angles 90.00°, 98.49° and 90.00°. The asymmetric unit holds Ba at (0.000, 0.000, 0.000), Mg at (0.270, 0.500, 0.363), Mn at (0.011, 0.500, 0.545) and Mn at (0.235, 0.000, 0.680).

The value obtained for the final energy is -4.854 eV per atom. As for the calculated formation energy: 610 meV per atom. As for the spin magnetization: 7.5 μB/f.u. For the energy above the most stable polymorph in this dataset, the calculation gives 0.99 eV per formula unit.

---

12.
An optimized crystal structure of BaMgMn3, computed with GGA-PBE.

The structure belongs to space group Pm-3m (No. 221); the cell edges are 5.359, 5.359 and 5.359 Å and the angles 90.00°, 90.00° and 90.00°. The asymmetric unit holds Ba at (0.000, 0.000, 0.000), Mg at (0.500, 0.500, 0.500) and Mn at (0.000, 0.000, 0.500).

The value obtained for the final energy is -4.360 eV per atom. As for the calculated formation energy: 1846 meV per atom. As for the spin magnetization: 12.0 μB/f.u. For the energy above the most stable polymorph in this dataset, the calculation gives 4.33 eV per formula unit.

---

13.
An optimized crystal structure of BaMgMn2, computed with GGA-PBE.

The structure belongs to space group Amm2 (No. 38); the cell edges are 4.514, 3.663 and 13.102 Å and the angles 90.00°, 90.00° and 90.00°. The asymmetric unit holds Ba at (0.000, 0.000, 0.000), Mg at (0.500, 0.000, 0.703), Mn at (0.000, 0.000, 0.263) and Mn at (0.500, 0.000, 0.366).

The value obtained for the final energy is -4.877 eV per atom. As for the calculated formation energy: 587 meV per atom. As for the spin magnetization: 7.7 μB/f.u. For the energy above the most stable polymorph in this dataset, the calculation gives 0.90 eV per formula unit.

---

14.
An optimized crystal structure of BaMg2Mn, computed with GGA-PBE.

The structure belongs to space group P4/mmm (No. 123); the cell edges are 3.572, 3.572 and 8.549 Å and the angles 90.00°, 90.00° and 90.00°. The asymmetric unit holds Ba at (0.000, 0.000, 0.000), Mg at (0.500, 0.500, 0.324) and Mn at (0.000, 0.000, 0.500).

The value obtained for the final energy is -3.319 eV per atom. As for the calculated formation energy: 251 meV per atom. As for the spin magnetization: 3.7 μB/f.u.

---

15.
An optimized crystal structure of BaMgMn2, computed with GGA-PBE.

The structure belongs to space group R-3m (No. 166, hexagonal axes); the cell edges are 3.3103, 3.3103 and 30.7720 Å and the angles 90.00°, 90.00° and 120.00°. The asymmetric unit holds Ba at (0.0000, 0.0000, 0.0000), Mg at (0.0000, 0.0000, 0.5000) and Mn at (0.0000, 0.0000, 0.2389).

The value obtained for the final energy is -4.654 eV per atom. As for the calculated formation energy: 810 meV per atom. As for the spin magnetization: 7.7 μB/f.u. For the energy above the most stable polymorph in this dataset, the calculation gives 1.79 eV per formula unit.

---

16.
An optimized crystal structure of BaMgMn2, computed with GGA-PBE.

The structure belongs to space group P2/m (No. 10); the cell edges are 3.222, 4.637 and 7.028 Å and the angles 90.00°, 102.35° and 90.00°. The asymmetric unit holds Ba at (0.000, 0.000, 0.000), Mg at (0.500, 0.000, 0.500) and Mn at (0.273, 0.500, 0.664).

The value obtained for the final energy is -4.848 eV per atom. As for the calculated formation energy: 616 meV per atom. As for the spin magnetization: 7.5 μB/f.u. For the energy above the most stable polymorph in this dataset, the calculation gives 1.01 eV per formula unit.

---

17.
An optimized crystal structure of BaMg2Mn, computed with GGA-PBE.

The structure belongs to space group R3m (No. 160, hexagonal axes); the cell edges are 3.4361, 3.4361 and 32.1614 Å and the angles 90.00°, 90.00° and 120.00°. The asymmetric unit holds Ba at (0.0000, 0.0000, 0.0000), Mg at (0.0000, 0.0000, 0.2350), Mg at (0.0000, 0.0000, 0.4886) and Mn at (0.0000, 0.0000, 0.7550).

The value obtained for the final energy is -3.049 eV per atom. As for the calculated formation energy: 522 meV per atom. As for the spin magnetization: 3.7 μB/f.u.

---

18.
An optimized crystal structure of BaMg2Mn, computed with GGA-PBE.

The structure belongs to space group I-42d (No. 122); the cell edges are 5.496, 5.496 and 19.565 Å and the angles 90.00°, 90.00° and 90.00°. The asymmetric unit holds Ba at (0.000, 0.000, 0.000), Mg at (0.009, 0.250, 0.625) and Mn at (0.000, 0.000, 0.500).

The value obtained for the final energy is -3.028 eV per atom. As for the calculated formation energy: 542 meV per atom. As for the spin magnetization: 3.8 μB/f.u.

---

19.
An optimized crystal structure of BaMg2Mn, computed with GGA-PBE.

The structure belongs to space group P4mm (No. 99); the cell edges are 3.666, 3.666 and 8.340 Å and the angles 90.00°, 90.00° and 90.00°. The asymmetric unit holds Ba at (0.000, 0.000, 0.000), Mg at (0.000, 0.000, 0.558), Mg at (0.500, 0.500, 0.340) and Mn at (0.500, 0.500, 0.707).

The value obtained for the final energy is -3.268 eV per atom. As for the calculated formation energy: 303 meV per atom. As for the spin magnetization: 3.8 μB/f.u.

---

20.
An optimized crystal structure of BaMg6Mn, computed with GGA-PBE.

The structure belongs to space group Amm2 (No. 38); the cell edges are 5.055, 6.287 and 13.623 Å and the angles 90.00°, 90.00° and 90.00°. The asymmetric unit holds Ba at (0.000, 0.000, 0.000), Mg at (0.000, 0.238, 0.736), Mg at (0.500, 0.000, 0.173), Mg at (0.500, 0.000, 0.582), Mg at (0.500, 0.244, 0.368) and Mn at (0.000, 0.000, 0.408).

The value obtained for the final energy is -2.379 eV per atom. As for the calculated formation energy: 204 meV per atom. As for the spin magnetization: 3.8 μB/f.u. For the energy above the most stable polymorph in this dataset, the calculation gives 0.00 eV per formula unit.